No. 1
A plane-wave DFT calculation with GGA-PBE was carried out for an optimized crystal structure of TlSbAuSe3.

Uncorrected formation energy in eV per atom: -0.203
E_tot in eV/f.u.: -21.44
SG: P2_1/m, No. 11

Unit cell a=4.090 b=8.791 c=9.926 alpha=103.47 beta=90.00 gamma=90.00
Fractional coordinates of all 12 atoms:
Au1 0.750 0.897 0.472
Au2 0.250 0.103 0.528
Se1 0.750 0.448 0.162
Se2 0.250 0.730 0.431
Se3 0.750 0.270 0.569
Se4 0.750 0.883 0.110
Se5 0.250 0.552 0.838
Se6 0.250 0.117 0.890
Tl1 0.250 0.179 0.217
Tl2 0.750 0.821 0.783
Sb1 0.750 0.331 0.871
Sb2 0.250 0.669 0.129

=====

No. 2
A plane-wave DFT calculation with GGA-PBE was carried out for an optimized crystal structure of USbAuSe.

Uncorrected formation energy in eV per atom: -0.491
E_tot in eV/f.u.: -24.14
SG: P4/nmm, No. 129

Unit cell a=4.510 b=4.510 c=9.026 alpha=90.00 beta=90.00 gamma=90.00
Last column: magnetic moment on the atom in μB.
Fractional coordinates of all 8 atoms:
Se1 0.000 0.000 0.500  -0.10
Se2 0.500 0.500 0.500  -0.10
Au1 0.000 0.000 0.000  -0.02
Au2 0.500 0.500 0.000  -0.02
U1 0.000 0.500 0.294  2.15
U2 0.500 0.000 0.706  2.15
Sb1 0.000 0.500 0.805  -0.05
Sb2 0.500 0.000 0.195  -0.05

=====

No. 3
A plane-wave DFT calculation with GGA-PBE was carried out for an optimized crystal structure of SiSbAu2.

Uncorrected formation energy in eV per atom: 0.099
E_tot in eV/f.u.: -15.71
Distance to the lowest polymorph of the same formula in meV per atom: 63
SG: R3m, No. 160

Unit cell a=4.050 b=4.050 c=6.415 alpha=71.60 beta=71.60 gamma=60.00
Fractional coordinates of all 4 atoms:
Au1 0.067 0.067 0.800
Au2 0.268 0.268 0.196
Si1 0.667 0.667 0.999
Sb1 0.499 0.499 0.504

=====

No. 4
A plane-wave DFT calculation with GGA-PBE was carried out for an optimized crystal structure of Si2SbAu.

Uncorrected formation energy in eV per atom: 0.183
E_tot in eV/f.u.: -17.51
SG: Amm2, No. 38

Unit cell a=3.745 b=4.741 c=4.743 alpha=70.10 beta=90.00 gamma=90.00
Fractional coordinates of all 4 atoms:
Sb1 0.500 0.755 0.755
Si1 0.000 0.029 0.030
Si2 0.500 0.236 0.236
Au1 0.000 0.479 0.479

=====

No. 5
A plane-wave DFT calculation with GGA-PBE was carried out for an optimized crystal structure of SiSbAu2.

Uncorrected formation energy in eV per atom: 0.274
E_tot in eV/f.u.: -15.00
Distance to the lowest polymorph of the same formula in meV per atom: 239
SG: Fm-3m, No. 225

Unit cell a=4.843 b=4.843 c=4.843 alpha=60.00 beta=60.00 gamma=60.00
Fractional coordinates of all 4 atoms:
Sb1 0.500 0.500 0.500
Si1 0.000 0.000 0.000
Au1 0.750 0.750 0.750
Au2 0.250 0.250 0.250

=====

No. 6
A plane-wave DFT calculation with GGA-PBE was carried out for an optimized crystal structure of SiSbAu2.

Uncorrected formation energy in eV per atom: 0.203
E_tot in eV/f.u.: -15.29
Distance to the lowest polymorph of the same formula in meV per atom: 167
SG: P4mm, No. 99

Unit cell a=3.164 b=3.164 c=7.936 alpha=90.00 beta=90.00 gamma=89.99
Fractional coordinates of all 4 atoms:
Sb1 0.000 0.000 0.494
Au1 0.500 0.500 0.231
Au2 0.000 0.000 0.978
Si1 0.500 0.500 0.797